First-principles (GGA-PBE) data for Zr2TaNi after structural relaxation, as listed in Alexandria.

a b c (Å): 3.422 4.801 4.480
angles (deg): 90.00 90.00 90.00
Sites, in units of the cell vectors:
Zr 0.000 0.000 0.000
Zr 0.500 0.500 0.000
Ta 0.000 0.500 0.500
Ni 0.500 0.000 0.500

Properties
Distance to the lowest polymorph of the same formula, eV/f.u.: 0.91
Fermi-level density of states, states/eV/atom: 1.3479
Size of the total moment, Bohr magnetons per cell: 0.0
Energy relative to the elements, eV/atom: 0.098